# 1
VASP calculation (meta-GGA SCAN) on Y3AlNiS7 at its PBEsol-relaxed geometry.

Cell and atoms, written as CIF:
```
data_Y3AlNiS7
_chemical_formula_sum 'Y6 Al2 Ni2 S14'
_space_group_name_H-M_alt 'P 1'
_space_group_IT_number 1
_cell_length_a 6.168
_cell_length_b 9.539
_cell_length_c 9.539
_cell_angle_alpha 120.00
_cell_angle_beta 90.00
_cell_angle_gamma 90.00
loop_
_space_group_symop_operation_xyz
'x,y,z'
loop_
_atom_site_label
_atom_site_type_symbol
_atom_site_fract_x
_atom_site_fract_y
_atom_site_fract_z
S1 S 0.182 0.769 0.902
S2 S 0.986 0.333 0.667
S3 S 0.486 0.667 0.333
S4 S 0.182 0.098 0.866
S5 S 0.004 0.911 0.481
S6 S 0.504 0.429 0.911
S7 S 0.182 0.134 0.231
S8 S 0.004 0.519 0.429
S9 S 0.682 0.902 0.134
S10 S 0.004 0.571 0.089
S11 S 0.682 0.866 0.769
S12 S 0.504 0.481 0.571
S13 S 0.504 0.089 0.519
S14 S 0.682 0.231 0.098
Y1 Y 0.778 0.151 0.775
Y2 Y 0.778 0.225 0.376
Y3 Y 0.278 0.376 0.151
Y4 Y 0.278 0.775 0.624
Y5 Y 0.778 0.624 0.849
Y6 Y 0.278 0.849 0.225
Al1 Al 0.847 0.667 0.333
Al2 Al 0.347 0.333 0.667
Ni1 Ni 0.949 0.000 0.000
Ni2 Ni 0.449 0.000 0.000
```

Computed properties:
Spin magnetization (μB/cell): 3.999
Formation energy from raw total energies (eV/atom): -1.8730



# 2
VASP calculation (meta-GGA SCAN) on Al4Ni15Sb at its PBEsol-relaxed geometry.

Cell and atoms, written as CIF:
```
data_Al4Ni15Sb
_chemical_formula_sum 'Al4 Ni15 Sb1'
_space_group_name_H-M_alt 'P 1'
_space_group_IT_number 1
_cell_length_a 3.559
_cell_length_b 3.559
_cell_length_c 17.641
_cell_angle_alpha 90.00
_cell_angle_beta 90.00
_cell_angle_gamma 90.00
loop_
_space_group_symop_operation_xyz
'x,y,z'
loop_
_atom_site_label
_atom_site_type_symbol
_atom_site_fract_x
_atom_site_fract_y
_atom_site_fract_z
Al1 Al 0.000 0.000 0.598
Al2 Al 0.000 0.000 0.793
Al3 Al 0.000 0.000 0.207
Al4 Al 0.000 0.000 0.402
Ni1 Ni 0.500 0.500 0.598
Ni2 Ni 0.500 0.000 0.696
Ni3 Ni 0.000 0.500 0.696
Ni4 Ni 0.000 0.500 0.500
Ni5 Ni 0.500 0.000 0.500
Ni6 Ni 0.500 0.000 0.893
Ni7 Ni 0.500 0.500 0.795
Ni8 Ni 0.000 0.500 0.304
Ni9 Ni 0.500 0.500 0.402
Ni10 Ni 0.000 0.500 0.107
Ni11 Ni 0.500 0.000 0.304
Ni12 Ni 0.000 0.500 0.893
Ni13 Ni 0.500 0.500 0.205
Ni14 Ni 0.500 0.000 0.107
Ni15 Ni 0.500 0.500 0.000
Sb1 Sb 0.000 0.000 0.000
```

Computed properties:
Spin magnetization (μB/cell): 3.692
Formation energy from raw total energies (eV/atom): -0.4088



no.,total DFT energy (no corrections) (eV/atom)
1,-16.44
2,-15.95